Record 1
Density functional theory data (PBE-GGA) for an optimized crystal structure of ZnIn2Hg6Pb.

Cell lengths 6.3685, 6.3685, 7.2745 Å; angles 102.33, 102.33, 84.40 degrees
Closest atoms and distances in Å follow each position.
Fractional coordinates of all 10 atoms:
Zn1 0.0000 0.0000 0.0000  6 Hg 2.83-2.85
In1 0.3326 0.3326 0.8391  7 Hg 3.05-3.33, 1 Pb 3.29, 1 In 3.35
In2 0.6674 0.6674 0.1609  7 Hg 3.05-3.33, 1 Pb 3.29, 1 In 3.35
Hg1 0.1473 0.1473 0.4007  1 Zn 2.85, 1 In 3.16
Hg2 0.1519 0.6486 0.1817  1 Zn 2.83, 1 In 3.05, 1 Pb 3.08
Hg3 0.3514 0.8481 0.8183  1 Zn 2.83, 1 In 3.05, 1 Pb 3.08
Hg4 0.6486 0.1519 0.1817  1 Zn 2.83, 1 In 3.05, 1 Pb 3.08
Hg5 0.8481 0.3514 0.8183  1 Zn 2.83, 1 In 3.05, 1 Pb 3.08
Hg6 0.8527 0.8527 0.5993  1 Zn 2.85, 1 In 3.16
Pb1 0.5000 0.5000 0.5000  6 Hg 3.08-3.20, 2 In 3.29

Properties
**Total moment**: 0.0 μB/cell
**Formation enthalpy at 0 K**: 0.08 eV/atom

Record 2
Density functional theory data (PBE-GGA) for an optimized crystal structure of NdHoTmAl.

Cell lengths 3.5187, 3.5187, 9.0381 Å; angles 90.00, 90.00, 90.00 degrees
Closest atoms and distances in Å follow each position.
Fractional coordinates of all 4 atoms:
Nd1 0.0000 0.0000 0.0000  4 Nd 3.52, 4 Tm 3.61, 4 Ho 3.64
Ho1 0.5000 0.5000 0.7061  4 Al 3.13
Tm1 0.5000 0.5000 0.2888  4 Al 3.11
Al1 0.0000 0.0000 0.4954  4 Tm 3.11, 4 Ho 3.13

Properties
**Total moment**: 0.0 μB/cell
**Formation enthalpy at 0 K**: -0.20 eV/atom
**Offset from the most stable computed form**: 0 meV per atom

Record 3
Density functional theory data (PBE-GGA) for an optimized crystal structure of MgRhBr.

Cell lengths 5.2981, 5.2981, 5.2981 Å; angles 141.85, 141.85, 55.05 degrees
Closest atoms and distances in Å follow each position.
Fractional coordinates of all 3 atoms:
Mg1 0.0000 0.0000 0.0000  4 Rh 2.66, 4 Br 2.92
Rh1 0.3882 0.3882 0.0000  1 Br 2.64, 4 Mg 2.66
Br1 0.6694 0.6694 0.0000  1 Rh 2.64, 4 Mg 2.92

Properties
**Total moment**: 0.0 μB/cell
**Offset from the most stable computed form**: 432 meV per atom

- What is the formula in the third record?
  MgRhBr